First-principles (PBEsol) data for a relaxed structure of ZnNiAs2O7, as listed in Alexandria.

a b c (Å): 7.1403 8.5189 9.2488
angles (deg): 90.00 109.83 90.00
Site moments in Bohr magnetons follow the coordinates.
Sites, in units of the cell vectors:
O 0.1551 0.0989 0.1166  0.09
O 0.6939 0.7625 0.5599  0.06
O 0.8449 0.9011 0.8834  0.09
O 0.1939 0.7375 0.0599  0.06
O 0.5774 0.4185 0.1850  0.06
O 0.4226 0.5815 0.8150  0.06
O 0.0647 0.7532 0.7281  0.06
O 0.5777 0.0972 0.1010  0.01
O 0.6551 0.4011 0.6166  0.09
O 0.9353 0.2468 0.2719  0.06
O 0.1762 0.3311 0.9091  0.01
O 0.5647 0.7468 0.2281  0.06
O 0.4353 0.2532 0.7719  0.06
O 0.3449 0.5989 0.3834  0.09
O 0.8238 0.6689 0.0909  0.01
O 0.8617 0.5665 0.8408  0.05
O 0.0774 0.0815 0.6850  0.06
O 0.3238 0.8311 0.5909  0.01
O 0.6762 0.1689 0.4091  0.01
O 0.3061 0.2375 0.4401  0.06
O 0.6383 0.0665 0.6592  0.05
O 0.4223 0.9028 0.8990  0.01
O 0.0777 0.4028 0.6010  0.01
O 0.9226 0.9185 0.3150  0.06
O 0.8061 0.2625 0.9401  0.06
O 0.1383 0.4335 0.1592  0.05
O 0.9223 0.5972 0.3990  0.01
O 0.3617 0.9335 0.3408  0.05
Ni 0.1286 0.0657 0.3215  1.54
Ni 0.8714 0.9343 0.6785  1.54
Ni 0.3714 0.5657 0.1785  1.54
Ni 0.6286 0.4343 0.8215  1.54
As 0.5565 0.2237 0.5397  0.01
As 0.6820 0.2408 0.2319  0.01
As 0.4435 0.7763 0.4603  0.01
As 0.0565 0.2763 0.0397  0.01
As 0.1820 0.2592 0.7319  0.01
As 0.3180 0.7592 0.7681  0.01
As 0.8180 0.7408 0.2681  0.01
As 0.9435 0.7237 0.9603  0.01
Zn 0.1209 0.4345 0.3853  0.00
Zn 0.3791 0.9345 0.1147  0.00
Zn 0.8791 0.5655 0.6147  0.00
Zn 0.6209 0.0655 0.8853  0.00

Calculated values
The space-group type is P2_1/c, No. 14. For the formation energy (no corrections), the calculation gives -1.1056 eV per atom.

***

First-principles (PBEsol) data for a relaxed structure of TlTc2Au, as listed in Alexandria.

a b c (Å): 3.7532 4.3530 4.9652
angles (deg): 116.00 112.21 90.00
Sites, in units of the cell vectors:
Au 0.7442 0.2442 0.4883
Tc 0.9799 0.9799 0.9598
Tc 0.2703 0.7703 0.5406
Tl 0.5057 0.5057 0.0114

Calculated values
The space-group type is Imm2, No. 44. For the density of states at the Fermi level, the calculation gives 4.30 states/eV/cell. The value obtained for the polymorph energy (0 for the lowest one) is 0.293 eV per atom. The formation energy is 0.548 eV/atom.

***

First-principles (PBEsol) data for a relaxed structure of Al2CuGeIr, as listed in Alexandria.

a b c (Å): 4.5963 4.5963 4.7803
angles (deg): 90.00 90.00 90.00
Sites, in units of the cell vectors:
Al 0.0000 0.5000 0.0000
Al 0.5000 0.0000 0.0000
Ir 0.0000 0.0000 0.0000
Cu 0.0000 0.0000 0.5000
Ge 0.5000 0.5000 0.5000

Calculated values
The space-group type is P4/mmm, No. 123. For the density of states at the Fermi level, the calculation gives 2.72 states/eV/cell. The formation energy is 0.384 eV/atom.